1.
Computed, not measured: a relaxed YGa4Cu crystal at the PBE level of DFT. Values from VASP.

Calculated formation energy (meV/atom): -228
M_tot (μB per cell): 0.0
DFT total energy (eV/atom): -4.006

The structure in Quantum ESPRESSO input format:
```
&SYSTEM
  ibrav = 0, nat = 12, ntyp = 3
/
ATOMIC_SPECIES
Y 88.91 Y.upf
Ga 69.72 Ga.upf
Cu 63.55 Cu.upf
CELL_PARAMETERS angstrom
5.3757 -0.0433 -0.0566
-0.0238 4.5215 -0.0381
-2.7512 -2.1526 9.2602
ATOMIC_POSITIONS crystal
Y 0.7500 0.7500 0.9999
Y 0.2500 0.2500 0.0001
Ga 0.6350 0.1443 0.7872
Ga 0.8646 0.3558 0.2127
Ga 0.3650 0.8557 0.2128
Ga 0.1354 0.6442 0.7873
Ga 0.0248 0.0698 0.6406
Ga 0.4748 0.4301 0.3594
Ga 0.9752 0.9302 0.3594
Ga 0.5252 0.5699 0.6406
Cu 0.5000 0.0000 0.5000
Cu 0.0000 0.5000 0.5000
```

***

2.
Computed, not measured: a relaxed Y3Ga4Cu4 crystal at the PBE level of DFT. Values from VASP.

Calculated formation energy (meV/atom): -456
M_tot (μB per cell): 0.0
DFT total energy (eV/atom): -4.809

The structure in Quantum ESPRESSO input format:
```
&SYSTEM
  ibrav = 0, nat = 11, ntyp = 3
/
ATOMIC_SPECIES
Y 88.91 Y.upf
Ga 69.72 Ga.upf
Cu 63.55 Cu.upf
CELL_PARAMETERS angstrom
3.7365 0.0002 0.0030
0.0005 4.1796 0.0087
1.8607 2.0962 13.1442
ATOMIC_POSITIONS crystal
Y 0.1477 0.6476 0.7058
Y 0.8523 0.3525 0.2942
Y 0.0000 0.0000 0.0000
Ga 0.5975 0.0970 0.8081
Ga 0.2543 0.2532 0.4924
Ga 0.7457 0.7468 0.5075
Ga 0.4026 0.9031 0.1919
Cu 0.5488 0.5470 0.9060
Cu 0.4512 0.4530 0.0940
Cu 0.3097 0.8096 0.3792
Cu 0.6903 0.1904 0.6208
```

***

3.
Computed, not measured: a relaxed YGaCu2 crystal at the PBE level of DFT. Values from VASP.

Calculated formation energy (meV/atom): -357
M_tot (μB per cell): 0.0
DFT total energy (eV/atom): -4.777

The structure in Quantum ESPRESSO input format:
```
&SYSTEM
  ibrav = 0, nat = 16, ntyp = 3
/
ATOMIC_SPECIES
Y 88.91 Y.upf
Ga 69.72 Ga.upf
Cu 63.55 Cu.upf
CELL_PARAMETERS angstrom
5.3852 0.0000 0.0000
0.0000 6.5499 0.0000
0.0000 0.0000 7.9002
ATOMIC_POSITIONS crystal
Y 0.3516 0.2500 0.0541
Y 0.8516 0.7500 0.4459
Y 0.6484 0.7500 0.9459
Y 0.1484 0.2500 0.5541
Ga 0.6480 0.2500 0.3923
Ga 0.1480 0.7500 0.1077
Ga 0.3520 0.7500 0.6077
Ga 0.8520 0.2500 0.8923
Cu 0.8868 0.0559 0.1799
Cu 0.3868 0.9441 0.3201
Cu 0.1132 0.5559 0.8201
Cu 0.6132 0.4441 0.6799
Cu 0.1132 0.9441 0.8201
Cu 0.6132 0.0559 0.6799
Cu 0.8868 0.4441 0.1799
Cu 0.3868 0.5559 0.3201
```

***

4.
Computed, not measured: a relaxed Y4GaCu2 crystal at the PBE level of DFT. Values from VASP.

Calculated formation energy (meV/atom): -229
M_tot (μB per cell): 0.0
DFT total energy (eV/atom): -5.525

The structure in Quantum ESPRESSO input format:
```
&SYSTEM
  ibrav = 0, nat = 7, ntyp = 3
/
ATOMIC_SPECIES
Y 88.91 Y.upf
Cu 63.55 Cu.upf
Ga 69.72 Ga.upf
CELL_PARAMETERS angstrom
4.7198 0.0000 1.4746
2.1296 4.2121 1.4746
-0.0530 -0.0326 8.4604
ATOMIC_POSITIONS crystal
Y 0.8722 0.8722 0.3835
Y 0.1278 0.1278 0.6165
Y 0.6199 0.6199 0.1404
Y 0.3801 0.3801 0.8596
Cu 0.7465 0.7465 0.7604
Cu 0.2535 0.2535 0.2396
Ga 0.0000 0.0000 0.0000
```

***

5.
Computed, not measured: a relaxed YGa2Cu2 crystal at the PBE level of DFT. Values from VASP.

Calculated formation energy (meV/atom): -431
M_tot (μB per cell): 0.0
DFT total energy (eV/atom): -4.573

The structure in Quantum ESPRESSO input format:
```
&SYSTEM
  ibrav = 0, nat = 5, ntyp = 3
/
ATOMIC_SPECIES
Y 88.91 Y.upf
Cu 63.55 Cu.upf
Ga 69.72 Ga.upf
CELL_PARAMETERS angstrom
-2.0054 -0.5443 3.6058
2.1691 -3.4860 0.6802
3.6082 0.6400 4.5050
ATOMIC_POSITIONS crystal
Y 0.0000 0.0000 0.0000
Cu 0.7500 0.2500 0.5000
Cu 0.2500 0.7500 0.5000
Ga 0.3765 0.3765 0.2469
Ga 0.6235 0.6235 0.7531
```

***

6.
Computed, not measured: a relaxed YGa2Cu9 crystal at the PBE level of DFT. Values from VASP.

Calculated formation energy (meV/atom): -163
M_tot (μB per cell): 0.0
DFT total energy (eV/atom): -4.278
Distance to the lowest polymorph of the same formula (meV/atom): 0

The structure in Quantum ESPRESSO input format:
```
&SYSTEM
  ibrav = 0, nat = 24, ntyp = 3
/
ATOMIC_SPECIES
Y 88.91 Y.upf
Ga 69.72 Ga.upf
Cu 63.55 Cu.upf
CELL_PARAMETERS angstrom
-1.6299 6.1860 1.6825
-7.7467 1.3480 0.5420
-0.6509 1.2562 7.7537
ATOMIC_POSITIONS crystal
Y 0.5000 0.0000 0.0000
Y 0.2500 0.5000 0.5000
Ga 0.8750 0.2500 0.7500
Ga 0.8750 0.7500 0.2500
Ga 0.8750 0.2500 0.2500
Ga 0.3750 0.7500 0.7500
Cu 0.7500 0.5000 0.5000
Cu 0.0000 0.0000 0.0000
Cu 0.0124 0.9138 0.6700
Cu 0.5962 0.0862 0.3300
Cu 0.6762 0.1700 0.5862
Cu 0.4324 0.8300 0.4138
Cu 0.7376 0.8300 0.5862
Cu 0.1538 0.1700 0.4138
Cu 0.0738 0.9138 0.3300
Cu 0.3176 0.0862 0.6700
Cu 0.7376 0.5862 0.8300
Cu 0.1538 0.4138 0.1700
Cu 0.0738 0.3300 0.9138
Cu 0.3176 0.6700 0.0862
Cu 0.0124 0.6700 0.9138
Cu 0.5962 0.3300 0.0862
Cu 0.6762 0.5862 0.1700
Cu 0.4324 0.4138 0.8300
```

***

7.
Computed, not measured: a relaxed YGa6Cu4 crystal at the PBE level of DFT. Values from VASP.

Calculated formation energy (meV/atom): -233
M_tot (μB per cell): 0.0
DFT total energy (eV/atom): -3.961

The structure in Quantum ESPRESSO input format:
```
&SYSTEM
  ibrav = 0, nat = 11, ntyp = 3
/
ATOMIC_SPECIES
Y 88.91 Y.upf
Ga 69.72 Ga.upf
Cu 63.55 Cu.upf
CELL_PARAMETERS angstrom
4.0127 0.0000 0.0000
0.0000 7.1347 0.0000
0.0000 -3.5674 6.1789
ATOMIC_POSITIONS crystal
Y 0.0000 0.0000 0.0000
Ga 0.0000 0.5345 0.0689
Ga 0.5000 0.6065 0.8032
Ga 0.0000 0.5345 0.4655
Ga 0.0000 0.9311 0.4655
Ga 0.5000 0.1968 0.8032
Ga 0.5000 0.1968 0.3935
Cu 0.5000 0.7914 0.5827
Cu 0.5000 0.4173 0.2086
Cu 0.5000 0.7914 0.2086
Cu 0.0000 0.3333 0.6667
```

***

8.
Computed, not measured: a relaxed Y2Ga3Cu2 crystal at the PBE level of DFT. Values from VASP.

Calculated formation energy (meV/atom): -477
M_tot (μB per cell): 0.0
DFT total energy (eV/atom): -4.791

The structure in Quantum ESPRESSO input format:
```
&SYSTEM
  ibrav = 0, nat = 7, ntyp = 3
/
ATOMIC_SPECIES
Y 88.91 Y.upf
Ga 69.72 Ga.upf
Cu 63.55 Cu.upf
CELL_PARAMETERS angstrom
-0.0728 -0.8673 -4.1236
-2.7751 -3.7816 2.9980
-3.5291 5.4531 -1.0846
ATOMIC_POSITIONS crystal
Y 0.8503 0.7007 0.2226
Y 0.1497 0.2993 0.7774
Ga 0.5000 0.0000 0.0000
Ga 0.6064 0.2128 0.4351
Ga 0.3936 0.7872 0.5649
Cu 0.8556 0.7112 0.7564
Cu 0.1444 0.2888 0.2436
```